Material: LaTa4Ag
Method: DFT, meta-GGA SCAN
State: PBEsol geometry

Results
DFT formation energy = 0.54 eV/atom
Total magnetic moment = 0.00 μB per atom
Uncorrected energy = -56.257 eV/atom

```
LaTa4Ag
1.0
5.594 0.000 0.000
2.797 4.845 0.000
2.797 1.615 4.568
La Ta Ag
1 4 1
direct
0.000 0.000 0.000
0.374 0.374 0.879
0.879 0.374 0.374
0.374 0.879 0.374
0.374 0.374 0.374
0.750 0.750 0.750
```